1.
## MgCd (PBE-GGA)

Data for a relaxed MgCd crystal.

extended XYZ file:
```
2
Lattice="3.2964 0.0000 0.0000 -1.6482 2.8548 0.0000 0.0000 0.0000 4.7143" Properties=species:S:1:pos:R:3 pbc="T T T"
Cd 0.0000 0.0000 0.0000
Mg 0.0000 1.9032 2.3571
```

Calculated values
energy of formation from the pure elements = -61 meV per atom
space group = No. 187

2.
## Mg5Cd (PBE-GGA)

Data for a relaxed Mg5Cd crystal.

extended XYZ file:
```
6
Lattice="2.8793 -4.9870 0.0000 2.8793 4.9870 0.0000 0.0000 0.0000 5.2343" Properties=species:S:1:pos:R:3 pbc="T T T"
Mg 2.8793 -1.6623 0.0000
Mg 1.4396 -2.4935 2.6171
Mg 1.4396 2.4935 2.6171
Mg 2.8793 1.6623 0.0000
Mg 2.8793 0.0000 2.6171
Cd 0.0000 0.0000 0.0000
```

Calculated values
energy of formation from the pure elements = 165 meV per atom
space group = No. 191

3.
## MgCd5 (PBE-GGA)

Data for a relaxed MgCd5 crystal.

extended XYZ file:
```
12
Lattice="-1.1411 3.9434 3.2150 2.6176 -5.1993 2.0021 8.9399 3.8869 -1.5944" Properties=species:S:1:pos:R:3 pbc="T T T"
Cd 3.4222 2.5973 0.1430
Mg 2.6884 1.3285 3.0139
Cd 9.9387 1.3140 2.9546
Cd 1.7564 -1.2958 1.6742
Cd 4.7611 0.0106 1.1383
Mg 7.7279 1.3025 0.6088
Cd 9.0368 -1.2975 1.6094
Cd 8.6600 3.9268 1.9485
Cd 0.4777 1.3170 0.6681
Cd 6.9941 0.0337 3.4798
Cd 1.3796 3.9285 2.0134
Cd 5.6553 2.6204 2.4844
```

Calculated values
energy of formation from the pure elements = -32 meV per atom
space group = No. 12

4.
## MgCd5 (PBE-GGA)

Data for a relaxed MgCd5 crystal.

extended XYZ file:
```
6
Lattice="2.8577 -4.9497 0.0000 2.8577 4.9497 0.0000 0.0000 0.0000 5.1915" Properties=species:S:1:pos:R:3 pbc="T T T"
Mg 0.0000 0.0000 0.0000
Cd 2.8577 -1.6499 0.0000
Cd 2.8577 0.0000 2.5958
Cd 2.8577 1.6499 0.0000
Cd 1.4289 2.4749 2.5958
Cd 1.4289 -2.4749 2.5958
```

Calculated values
energy of formation from the pure elements = 98 meV per atom
space group = No. 191

5.
## Mg4Cd (PBE-GGA)

Data for a relaxed Mg4Cd crystal.

extended XYZ file:
```
5
Lattice="-2.5992 4.9977 -4.1417 -4.3979 -4.6372 -2.8357 -5.0616 0.6881 -1.8950" Properties=species:S:1:pos:R:3 pbc="T T T"
Mg -2.4448 2.0947 -3.0652
Cd 0.0000 0.0000 0.0000
Mg -2.2597 -0.8424 -1.9478
Mg -4.7374 1.2030 -5.0296
Mg -4.5523 -1.7342 -3.9121
```

Calculated values
energy of formation from the pure elements = -46 meV per atom
polymorph energy (0 for the lowest one) = 0.000 eV/atom
space group = No. 87

6.
## MgCd3 (PBE-GGA)

Data for a relaxed MgCd3 crystal.

extended XYZ file:
```
24
Lattice="-4.7535 2.7818 6.3691 -3.6087 -3.7343 -6.6282 0.7743 -7.8931 4.0254" Properties=species:S:1:pos:R:3 pbc="T T T"
Cd -0.5166 -6.6607 0.8852
Cd -4.1680 -1.4683 3.0965
Cd -3.1959 0.3480 5.3179
Cd -3.7864 -3.6403 -1.2359
Cd 0.3789 -3.8627 1.9699
Mg -2.6351 -4.6133 2.0808
Cd -2.0840 -7.2355 3.4439
Cd -2.3880 -4.2500 -3.8535
Cd -5.3551 -6.2336 2.6535
Mg -1.8724 -6.6362 -2.0324
Cd -5.3074 -3.6120 1.3434
Cd -3.3992 -7.5869 0.7767
Cd -2.3030 -1.8953 0.7473
Mg -1.7045 0.6969 2.4885
Mg -1.2865 -1.6826 -2.2577
Cd -0.8536 -4.7426 4.7111
Cd -0.9006 -4.2081 -0.6732
Cd -1.2788 -2.0551 3.6212
Cd -3.7809 -5.4149 5.1092
Cd -2.5039 -5.0581 7.7942
Mg -5.2773 -0.9236 -0.0018
Cd -1.7374 -9.4212 -0.9087
Mg -2.5992 -2.4995 6.2187
Cd 0.7661 -7.8092 3.9826
```

Calculated values
energy of formation from the pure elements = -28 meV per atom
polymorph energy (0 for the lowest one) = 0.042 eV/atom
space group = No. 185

7.
## Mg2Cd (PBE-GGA)

Data for a relaxed Mg2Cd crystal.

extended XYZ file:
```
6
Lattice="7.1460 0.2184 0.0000 -5.9784 3.9205 0.0000 0.0000 0.0000 4.4979" Properties=species:S:1:pos:R:3 pbc="T T T"
Cd -4.8319 3.5971 3.3735
Mg 3.8433 1.1500 3.3735
Cd 5.9994 0.5418 1.1245
Mg -2.6758 2.9889 1.1245
Mg -0.4663 2.3656 3.3735
Mg 1.6338 1.7733 1.1245
```

Calculated values
energy of formation from the pure elements = -76 meV per atom
space group = No. 63

8.
## MgCd (PBE-GGA)

Data for a relaxed MgCd crystal.

extended XYZ file:
```
4
Lattice="-1.3191 -0.0596 4.8875 -2.6902 -1.5794 -0.7453 2.5334 -4.6116 0.6275" Properties=species:S:1:pos:R:3 pbc="T T T"
Cd -0.9453 -5.3709 0.9904
Cd -0.5306 -0.8797 3.7792
Mg -0.8728 -2.2645 1.0479
Mg -0.6031 -3.9861 3.7218
```

Calculated values
energy of formation from the pure elements = -110 meV per atom
space group = No. 51

9.
## MgCd3 (PBE-GGA)

Data for a relaxed MgCd3 crystal.

extended XYZ file:
```
8
Lattice="5.6744 0.0000 0.0000 0.0000 5.6744 0.0000 0.0000 0.0000 5.6744" Properties=species:S:1:pos:R:3 pbc="T T T"
Cd 2.8372 0.0000 4.2558
Mg 0.0000 0.0000 0.0000
Cd 0.0000 1.4186 2.8372
Cd 1.4186 2.8372 0.0000
Cd 2.8372 0.0000 1.4186
Cd 0.0000 4.2558 2.8372
Mg 2.8372 2.8372 2.8372
Cd 4.2558 2.8372 0.0000
```

Calculated values
energy of formation from the pure elements = -3 meV per atom
polymorph energy (0 for the lowest one) = 0.068 eV/atom
space group = No. 223

10.
## Mg2Cd (PBE-GGA)

Data for a relaxed Mg2Cd crystal.

extended XYZ file:
```
3
Lattice="-4.7516 0.7977 -1.2392 -0.8295 -4.9052 0.0230 -0.7648 0.1435 3.0247" Properties=species:S:1:pos:R:3 pbc="T T T"
Cd 0.0000 0.0000 0.0000
Mg -0.7971 -2.3809 1.5239
Mg -2.7582 0.4706 0.8927
```

Calculated values
energy of formation from the pure elements = 69 meV per atom
space group = No. 123

11.
## Mg2Cd (PBE-GGA)

Data for a relaxed Mg2Cd crystal.

extended XYZ file:
```
6
Lattice="-4.4451 4.9319 -4.8257 4.7962 -6.3700 1.9467 -4.1186 -2.8235 0.9081" Properties=species:S:1:pos:R:3 pbc="T T T"
Cd -4.4798 1.0441 -2.8880
Mg -4.4411 4.9270 -4.8228
Mg -1.3912 -2.7332 -0.6245
Mg -1.3458 1.1415 -2.5545
Cd 1.7238 -6.5428 1.6583
Mg 1.7291 -2.6190 -0.3010
```

Calculated values
energy of formation from the pure elements = -48 meV per atom
space group = No. 38

12.
## MgCd (PBE-GGA)

Data for a relaxed MgCd crystal.

extended XYZ file:
```
4
Lattice="5.6324 0.0287 0.0191 3.5805 4.3479 0.0191 3.5805 1.7009 4.0015" Properties=species:S:1:pos:R:3 pbc="T T T"
Cd 8.8625 4.2102 2.7984
Cd 3.9308 1.8674 1.2412
Mg 11.4455 5.4373 3.6141
Mg 1.3479 0.6403 0.4256
```

Calculated values
energy of formation from the pure elements = -12 meV per atom
space group = No. 166